1.
# TlZn3Se

Crystalline TlZn3Se at its relaxed geometry (PBE, Alexandria).

Lattice parameters (Å, degrees): 5.137 5.137 5.137 90.00 90.00 90.00
Sites, in units of the cell vectors:
Tl 0.000 0.000 0.000
Zn 0.000 0.500 0.000
Zn 0.000 0.000 0.500
Zn 0.500 0.000 0.000
Se 0.500 0.500 0.500

Summary:
N(E_F)   6.49 states/eV/f.u.
Energy above the most stable polymorph in this dataset   212 meV per atom
Total magnetic moment   0.00 μB per formula unit
E   -6.9 eV for the cell shown
Energy relative to the elements, uncorrected   560 meV per atom
SG   Pm-3m


2.
# KLi2Be

Crystalline KLi2Be at its relaxed geometry (PBE, Alexandria).

Lattice parameters (Å, degrees): 3.930 5.203 5.068 90.00 90.00 90.00
Sites, in units of the cell vectors:
Be 0.500 0.000 0.500
K 0.000 0.500 0.500
Li 0.000 0.000 0.000
Li 0.500 0.500 0.000

Summary:
N(E_F)   2.03 states/eV/f.u.
Total magnetic moment   0.00 μB per formula unit
E   -6.0 eV for the cell shown
Calculated formation energy   0.67 eV/atom
SG   Pmmm


3.
# MnRu3Rh

Crystalline MnRu3Rh at its relaxed geometry (PBE, Alexandria).

Lattice parameters (Å, degrees): 4.346 4.346 4.346 90.00 90.00 90.00
Sites, in units of the cell vectors:
Ru 0.000 0.500 0.000
Ru 0.000 0.000 0.500
Ru 0.500 0.000 0.000
Mn 0.000 0.000 0.000
Rh 0.500 0.500 0.500

Summary:
N(E_F)   11.04 states/eV/f.u.
Energy above the most stable polymorph in this dataset   0 meV per atom
Total magnetic moment   1.90 μB per formula unit
E   -37.6 eV for the cell shown
Calculated formation energy   1.35 eV/atom
SG   Pm-3m


4.
# LaNd5Sn4

Crystalline LaNd5Sn4 at its relaxed geometry (PBE, Alexandria).

Lattice parameters (Å, degrees): 5.529 7.344 11.451 130.30 103.97 90.00
Sites, in units of the cell vectors:
La 0.500 0.000 0.000
Nd 0.834 0.676 0.669
Nd 0.833 0.156 0.667
Nd 0.167 0.844 0.333
Nd 0.500 0.500 0.000
Nd 0.166 0.324 0.331
Sn 0.323 0.897 0.646
Sn 0.991 0.727 0.982
Sn 0.677 0.103 0.354
Sn 0.009 0.273 0.018

Summary:
N(E_F)   6.43 states/eV/f.u.
Total magnetic moment   0.00 μB per formula unit
E   -50.5 eV for the cell shown
Calculated formation energy   -0.57 eV/atom
SG   C2/m


5.
# Mg3BiIr

Crystalline Mg3BiIr at its relaxed geometry (PBE, Alexandria).

Lattice parameters (Å, degrees): 3.149 8.030 8.747 90.00 90.00 90.00
Sites, in units of the cell vectors:
Mg 0.091 0.880 0.596
Mg 0.091 0.345 0.679
Mg 0.091 0.345 0.096
Mg 0.090 0.660 0.888
Mg 0.091 0.880 0.179
Mg 0.090 0.564 0.388
Bi 0.590 0.075 0.888
Bi 0.590 0.149 0.388
Ir 0.591 0.612 0.138
Ir 0.591 0.612 0.638

Summary:
N(E_F)   1.96 states/eV/f.u.
Energy above the most stable polymorph in this dataset   0 meV per atom
Total magnetic moment   0.00 μB per formula unit
E   -37.4 eV for the cell shown
Calculated formation energy   -0.23 eV/atom
SG   Pmma


6.
# FePt3I

Crystalline FePt3I at its relaxed geometry (PBE, Alexandria).

Lattice parameters (Å, degrees): 4.943 4.943 4.943 90.00 90.00 90.00
Sites, in units of the cell vectors:
I 0.000 0.000 0.000
Fe 0.500 0.500 0.500
Pt 0.000 0.500 0.000
Pt 0.000 0.000 0.500
Pt 0.500 0.000 0.000

Summary:
N(E_F)   6.51 states/eV/f.u.
Energy above the most stable polymorph in this dataset   524 meV per atom
Total magnetic moment   3.24 μB per formula unit
E   -20.8 eV for the cell shown
Energy relative to the elements, uncorrected   1458 meV per atom
SG   Pm-3m


7.
# Pr2HoTl3Te6

Crystalline Pr2HoTl3Te6 at its relaxed geometry (PBE, Alexandria).

Lattice parameters (Å, degrees): 7.875 7.875 8.590 98.79 98.79 119.99
Sites, in units of the cell vectors:
Pr 0.334 0.666 0.000
Pr 0.666 0.334 0.000
Ho 0.000 0.000 0.000
Tl 0.170 0.830 0.500
Tl 0.830 0.170 0.500
Tl 0.500 0.500 0.500
Te 0.928 0.604 0.782
Te 0.751 0.751 0.220
Te 0.072 0.396 0.218
Te 0.604 0.928 0.782
Te 0.249 0.249 0.780
Te 0.396 0.072 0.218

Summary:
Total magnetic moment   0.00 μB per formula unit
E   -52.9 eV for the cell shown
Energy relative to the elements, uncorrected   -1065 meV per atom
SG   C2/m


8.
# Sc2GaNi6

Crystalline Sc2GaNi6 at its relaxed geometry (PBE, Alexandria).

Lattice parameters (Å, degrees): 5.116 5.020 5.707 78.68 90.00 120.63
Sites, in units of the cell vectors:
Sc 0.648 0.295 0.150
Sc 0.352 0.705 0.850
Ga 0.000 0.000 0.000
Ni 0.866 0.262 0.667
Ni 0.876 0.752 0.677
Ni 0.396 0.262 0.667
Ni 0.134 0.738 0.333
Ni 0.124 0.248 0.323
Ni 0.604 0.738 0.333

Summary:
N(E_F)   6.13 states/eV/f.u.
Total magnetic moment   0.00 μB per formula unit
E   -54.3 eV for the cell shown
Calculated formation energy   -0.44 eV/atom
SG   C2/m